1.
K2Se3 | Alexandria via LeMat-Bulk | PBE | optimized geometry; final energy = -47.020 eV per cell; formation energy (no corrections) = -0.60 eV/atom; M_tot = 0.000 μB/atom
1.0
5.398 0.000 0.000
-2.699 4.675 0.000
0.000 0.000 17.357
K Se
6 9
direct
0.000 0.000 0.101
0.000 0.000 0.899
0.333 0.667 0.566
0.333 0.667 0.768
0.667 0.333 0.232
0.667 0.333 0.434
0.000 0.000 0.344
0.000 0.000 0.500
0.000 0.000 0.656
0.333 0.667 0.010
0.333 0.667 0.167
0.333 0.667 0.323
0.667 0.333 0.677
0.667 0.333 0.833
0.667 0.333 0.990

2.
Be2AgIr2 | Alexandria via LeMat-Bulk | PBE | optimized geometry; final energy = -57.938 eV per cell; formation energy = -188.7 meV per atom; M_tot = 0.000 μB/atom
1.0
6.491 0.000 0.000
0.000 6.491 0.000
0.000 0.000 2.929
Be Ag Ir
4 2 4
direct
0.130 0.370 0.000
0.370 0.870 0.000
0.630 0.130 0.000
0.870 0.630 0.000
0.000 0.000 0.000
0.500 0.500 0.000
0.157 0.657 0.500
0.343 0.157 0.500
0.657 0.843 0.500
0.843 0.343 0.500

3.
Pm4Ge2Cl | Alexandria via LeMat-Bulk | PBE | optimized geometry; final energy = -71.748 eV per cell; formation energy (no corrections) = -0.83 eV/atom; M_tot = 0.000 μB/atom
1.0
15.469 0.000 0.000
0.000 4.210 0.000
-3.404 0.000 6.429
Pm Ge Cl
8 4 2
direct
0.130 0.000 0.458
0.132 0.500 0.973
0.368 0.000 0.027
0.370 0.500 0.542
0.630 0.500 0.458
0.632 0.000 0.973
0.868 0.500 0.027
0.870 0.000 0.542
0.241 0.500 0.743
0.259 0.000 0.257
0.741 0.000 0.743
0.759 0.500 0.257
0.000 0.000 0.000
0.500 0.500 0.000

4.
PaTaC2 | Alexandria via LeMat-Bulk | PBE | optimized geometry; final energy = -122.839 eV per cell; formation energy = -287.5 meV per atom; M_tot = 0.000 μB/atom
1.0
3.308 0.000 0.000
-1.654 2.865 0.000
0.000 0.000 17.439
Pa Ta C
3 3 6
direct
0.000 0.000 0.000
0.333 0.667 0.667
0.667 0.333 0.333
0.000 0.000 0.823
0.333 0.667 0.490
0.667 0.333 0.156
0.000 0.000 0.422
0.000 0.000 0.568
0.333 0.667 0.088
0.333 0.667 0.235
0.667 0.333 0.755
0.667 0.333 0.902

5.
LiLaYHo | Alexandria via LeMat-Bulk | PBE | optimized geometry; final energy = -68.903 eV per cell; formation energy = 164.4 meV per atom; M_tot = 0.001 μB/atom
1.0
7.896 0.000 0.000
0.000 7.896 0.000
0.000 0.000 7.896
Li La Y Ho
4 4 4 4
direct
0.000 0.000 0.000
0.000 0.500 0.500
0.500 0.000 0.500
0.500 0.500 0.000
0.250 0.250 0.750
0.250 0.750 0.250
0.750 0.250 0.250
0.750 0.750 0.750
0.250 0.250 0.250
0.250 0.750 0.750
0.750 0.250 0.750
0.750 0.750 0.250
0.000 0.000 0.500
0.000 0.500 0.000
0.500 0.000 0.000
0.500 0.500 0.500

6.
TmMg2Sb | Alexandria via LeMat-Bulk | PBE | optimized geometry; final energy = -13.394 eV per cell; formation energy (no corrections) = -0.40 eV/atom; M_tot = 0.000 μB/atom
1.0
4.444 0.000 0.000
0.000 4.444 0.000
0.000 0.000 4.842
Tm Mg Sb
1 2 1
direct
0.000 0.000 0.000
0.000 0.500 0.500
0.500 0.000 0.500
0.500 0.500 0.000

7.
SmPu2NiN4 | Alexandria via LeMat-Bulk | PBE | optimized geometry; final energy = -161.731 eV per cell; formation energy (no corrections) = -1.05 eV/atom; M_tot = 0.874 μB/atom
1.0
1.720 -5.591 0.000
1.720 5.591 0.000
0.000 0.000 11.397
Sm Pu Ni N
2 4 2 8
direct
0.104 0.896 0.750
0.896 0.104 0.250
0.370 0.630 0.558
0.370 0.630 0.942
0.630 0.370 0.058
0.630 0.370 0.442
0.161 0.839 0.250
0.839 0.161 0.750
0.000 0.000 0.000
0.000 0.000 0.500
0.265 0.735 0.112
0.265 0.735 0.388
0.443 0.557 0.750
0.557 0.443 0.250
0.735 0.265 0.612
0.735 0.265 0.888

8.
NbAlOF2 | Alexandria via LeMat-Bulk | PBE | optimized geometry; final energy = -29.930 eV per cell; formation energy (no corrections) = -1.48 eV/atom; M_tot = 0.772 μB/atom
1.0
4.048 0.000 0.000
0.000 4.048 0.000
0.000 0.000 3.656
Nb Al O F
1 1 1 2
direct
0.000 0.000 0.000
0.500 0.500 0.500
0.500 0.500 0.000
0.000 0.500 0.500
0.500 0.000 0.500

9.
NbTc2MoC | Alexandria via LeMat-Bulk | PBE | optimized geometry; final energy = -51.003 eV per cell; formation energy = -29.2 meV per atom; M_tot = 0.000 μB/atom
1.0
4.110 0.000 0.000
0.000 4.110 0.000
0.000 0.000 4.171
Nb Tc Mo C
1 2 1 1
direct
0.000 0.000 0.000
0.000 0.500 0.500
0.500 0.000 0.500
0.500 0.500 0.000
0.500 0.500 0.500

10.
Ta14NbOs | Alexandria via LeMat-Bulk | PBE | optimized geometry; final energy = -188.513 eV per cell; formation energy = -79.8 meV per atom; M_tot = 0.000 μB/atom
1.0
3.307 -4.663 0.000
3.307 4.663 0.000
0.000 0.000 9.316
Ta Nb Os
14 1 1
direct
0.000 0.000 0.000
0.000 0.500 0.000
0.000 0.500 0.500
0.249 0.751 0.248
0.249 0.751 0.752
0.253 0.253 0.258
0.253 0.253 0.742
0.500 0.000 0.000
0.500 0.000 0.500
0.500 0.500 0.000
0.747 0.747 0.258
0.747 0.747 0.742
0.751 0.249 0.248
0.751 0.249 0.752
0.000 0.000 0.500
0.500 0.500 0.500

11.
Sr5CaAu3 | Alexandria via LeMat-Bulk | PBE | optimized geometry; final energy = -49.271 eV per cell; formation energy = -488.1 meV per atom; M_tot = 0.000 μB/atom
1.0
5.252 -5.844 0.000
5.252 5.844 0.000
-4.710 0.000 11.298
Sr Ca Au
10 2 6
direct
0.226 0.759 0.330
0.238 0.762 0.000
0.241 0.774 0.670
0.261 0.261 0.085
0.269 0.269 0.425
0.731 0.731 0.575
0.739 0.739 0.915
0.759 0.226 0.330
0.762 0.238 0.000
0.774 0.241 0.670
0.270 0.270 0.759
0.730 0.730 0.241
0.000 0.000 0.500
0.005 0.005 0.829
0.498 0.498 0.674
0.500 0.500 0.000
0.502 0.502 0.326
0.995 0.995 0.171

12.
SrMg2Si | Alexandria via LeMat-Bulk | PBE | optimized geometry; final energy = -10.026 eV per cell; formation energy (no corrections) = 0.07 eV/atom; M_tot = 0.000 μB/atom
1.0
3.596 0.000 0.000
0.000 3.596 0.000
0.000 0.000 8.030
Sr Mg Si
1 2 1
direct
0.000 0.000 0.000
0.500 0.500 0.316
0.500 0.500 0.684
0.000 0.000 0.500

13.
RuRh2Au | Alexandria via LeMat-Bulk | PBE | optimized geometry; final energy = -26.432 eV per cell; formation energy = 206.1 meV per atom; M_tot = 0.000 μB/atom
1.0
2.763 0.000 0.000
0.000 3.887 0.000
0.000 0.000 5.602
Ru Rh Au
1 2 1
direct
0.000 0.000 0.000
0.000 0.000 0.531
0.500 0.500 0.780
0.500 0.500 0.271

14.
PmSmGeI | Alexandria via LeMat-Bulk | PBE | optimized geometry; final energy = -58.890 eV per cell; formation energy (no corrections) = -1.00 eV/atom; M_tot = 0.000 μB/atom
1.0
4.277 0.000 0.000
-2.139 3.704 0.000
0.000 0.000 23.301
Pm Sm Ge I
3 3 3 3
direct
0.000 0.000 0.000
0.333 0.667 0.667
0.667 0.333 0.333
0.000 0.000 0.799
0.333 0.667 0.466
0.667 0.333 0.132
0.000 0.000 0.401
0.333 0.667 0.068
0.667 0.333 0.735
0.000 0.000 0.231
0.333 0.667 0.898
0.667 0.333 0.564

15.
CeZn5CdPd2 | Alexandria via LeMat-Bulk | PBE | optimized geometry; final energy = -25.081 eV per cell; formation energy = -164.1 meV per atom; M_tot = 0.119 μB/atom
1.0
4.840 0.000 0.000
0.000 4.840 0.000
0.000 0.000 7.508
Ce Zn Cd Pd
1 5 1 2
direct
0.000 0.000 0.000
0.000 0.500 0.273
0.000 0.500 0.727
0.500 0.000 0.273
0.500 0.000 0.727
0.500 0.500 0.000
0.000 0.000 0.500
0.500 0.500 0.324
0.500 0.500 0.676

16.
PaTeHI | Alexandria via LeMat-Bulk | PBE | optimized geometry; final energy = -62.180 eV per cell; M_tot = 0.251 μB/atom
1.0
4.047 0.000 0.000
-2.023 3.505 0.000
0.000 0.000 23.487
Pa Te H I
3 3 3 3
direct
0.000 0.000 0.000
0.333 0.667 0.667
0.667 0.333 0.333
0.000 0.000 0.249
0.333 0.667 0.915
0.667 0.333 0.582
0.000 0.000 0.670
0.333 0.667 0.337
0.667 0.333 0.004
0.000 0.000 0.427
0.333 0.667 0.094
0.667 0.333 0.760

17.
Nd3MnBi5 | Alexandria via LeMat-Bulk | PBE | optimized geometry; final energy = -95.324 eV per cell; formation energy = -531.6 meV per atom; M_tot = 0.415 μB/atom
1.0
9.718 0.000 0.000
-4.859 8.416 0.000
0.000 0.000 6.461
Nd Mn Bi
6 2 10
direct
0.000 0.378 0.250
0.000 0.622 0.750
0.378 0.000 0.250
0.378 0.378 0.750
0.622 0.000 0.750
0.622 0.622 0.250
0.000 0.000 0.000
0.000 0.000 0.500
0.000 0.254 0.750
0.000 0.746 0.250
0.254 0.000 0.750
0.254 0.254 0.250
0.333 0.667 0.000
0.333 0.667 0.500
0.667 0.333 0.000
0.667 0.333 0.500
0.746 0.000 0.250
0.746 0.746 0.750

18.
Li2PmEr2Pb2 | Alexandria via LeMat-Bulk | PBE | optimized geometry; final energy = -27.342 eV per cell; formation energy = -317.3 meV per atom; M_tot = 0.000 μB/atom
1.0
2.430 1.403 8.904
-2.430 1.403 8.904
0.000 -2.806 8.904
Li Pm Er Pb
2 1 2 2
direct
0.088 0.088 0.088
0.912 0.912 0.912
0.500 0.500 0.500
0.370 0.370 0.370
0.630 0.630 0.630
0.239 0.239 0.239
0.761 0.761 0.761

19.
Ti2NbPt | Alexandria via LeMat-Bulk | PBE | optimized geometry; final energy = -63.442 eV per cell; formation energy = 44.8 meV per atom; M_tot = 0.000 μB/atom
1.0
2.763 0.000 0.000
0.000 4.932 0.000
0.000 0.000 10.447
Ti Nb Pt
4 2 2
direct
0.000 0.000 0.238
0.000 0.000 0.762
0.500 0.500 0.262
0.500 0.500 0.738
0.000 0.000 0.500
0.500 0.500 0.000
0.000 0.000 0.000
0.500 0.500 0.500

20.
LiFe3C | Alexandria via LeMat-Bulk | PBE | optimized geometry; final energy = -35.962 eV per cell; formation energy = 112.8 meV per atom; M_tot = 0.998 μB/atom
1.0
3.777 0.000 0.000
0.000 3.777 0.000
0.000 0.000 3.777
Li Fe C
1 3 1
direct
0.000 0.000 0.000
0.000 0.500 0.500
0.500 0.000 0.500
0.500 0.500 0.000
0.500 0.500 0.500

21.
KSiSb2I | Alexandria via LeMat-Bulk | PBE | optimized geometry; final energy = -15.924 eV per cell; formation energy (no corrections) = 0.08 eV/atom; M_tot = 0.000 μB/atom
1.0
5.223 0.000 0.000
0.000 5.223 0.000
0.000 0.000 6.863
K Si Sb I
1 1 2 1
direct
0.000 0.000 0.000
0.500 0.500 0.500
0.000 0.500 0.500
0.500 0.000 0.500
0.500 0.500 0.000

22.
Cs2AgPbF6 | Alexandria via LeMat-Bulk | PBE | optimized geometry; final energy = -41.681 eV per cell; formation energy (no corrections) = -2.22 eV/atom; M_tot = 0.000 μB/atom
1.0
-3.308 3.308 4.704
3.308 -3.308 4.704
3.308 3.308 -4.704
Cs Ag Pb F
2 1 1 6
direct
0.250 0.750 0.500
0.750 0.250 0.500
0.000 0.000 0.000
0.500 0.500 0.000
0.250 0.250 0.500
0.250 0.750 0.000
0.252 0.252 0.000
0.748 0.748 0.000
0.750 0.250 0.000
0.750 0.750 0.500

23.
Tb2SmPu | Alexandria via LeMat-Bulk | PBE | optimized geometry; final energy = -81.727 eV per cell; formation energy = 267.4 meV per atom; M_tot = 1.606 μB/atom
1.0
3.467 0.000 0.000
-1.734 3.003 0.000
0.000 0.000 36.917
Tb Sm Pu
6 3 3
direct
0.000 0.000 0.088
0.000 0.000 0.912
0.333 0.667 0.579
0.333 0.667 0.755
0.667 0.333 0.245
0.667 0.333 0.421
0.000 0.000 0.500
0.333 0.667 0.167
0.667 0.333 0.833
0.000 0.000 0.000
0.333 0.667 0.667
0.667 0.333 0.333

24.
LaSbN2O | Alexandria via LeMat-Bulk | PBE | optimized geometry; final energy = -34.901 eV per cell; formation energy (no corrections) = -0.85 eV/atom; M_tot = 0.000 μB/atom
1.0
4.092 0.000 0.000
0.000 4.092 0.000
0.000 0.000 4.067
La Sb N O
1 1 2 1
direct
0.000 0.000 0.000
0.500 0.500 0.500
0.000 0.500 0.500
0.500 0.000 0.500
0.500 0.500 0.000

25.
RePbW2 | Alexandria via LeMat-Bulk | PBE | optimized geometry; final energy = -77.922 eV per cell; formation energy = 775.5 meV per atom; M_tot = 0.000 μB/atom
1.0
9.491 0.000 0.000
0.000 3.131 0.000
-1.164 0.000 4.839
Re Pb W
2 2 4
direct
0.000 0.000 0.000
0.500 0.500 0.000
0.267 0.500 0.296
0.767 0.000 0.296
0.037 0.500 0.585
0.269 0.000 0.800
0.537 0.000 0.585
0.769 0.500 0.800

26.
CaAcDy2 | Alexandria via LeMat-Bulk | PBE | optimized geometry; final energy = -43.358 eV per cell; formation energy = 215.4 meV per atom; M_tot = 0.000 μB/atom
1.0
3.662 0.000 0.000
-1.831 3.172 0.000
0.000 0.000 38.695
Ca Ac Dy
3 3 6
direct
0.000 0.000 0.000
0.333 0.667 0.667
0.667 0.333 0.333
0.000 0.000 0.500
0.333 0.667 0.167
0.667 0.333 0.833
0.000 0.000 0.089
0.000 0.000 0.911
0.333 0.667 0.578
0.333 0.667 0.756
0.667 0.333 0.244
0.667 0.333 0.422